Record 1
Density functional theory data (GGA-PBE) for an optimized crystal structure of TaBeTc.

Geometry as POSCAR:
```
TaBeTc
1.0
0.000 2.799 2.799
2.799 0.000 2.799
2.799 2.799 0.000
Be Ta Tc
1 1 1
Direct
0.000 0.000 0.000
0.250 0.250 0.250
0.750 0.750 0.750
```

## Properties
M_tot   0.00 Bohr magnetons per cell
Energy   -25.3 eV per cell
Polymorph energy (0 for the lowest one)   0.0 meV per atom


Record 2
Density functional theory data (GGA-PBE) for an optimized crystal structure of YTlCoNi.

Geometry as POSCAR:
```
YTlCoNi
1.0
0.000 3.330 3.330
3.330 0.000 3.330
3.330 3.330 0.000
Co Ni Y Tl
1 1 1 1
Direct
0.750 0.750 0.750
0.500 0.500 0.500
0.250 0.250 0.250
0.000 0.000 0.000
```

## Properties
M_tot   1.52 Bohr magnetons per cell
Energy   -20.7 eV per cell
Polymorph energy (0 for the lowest one)   249.3 meV per atom


Record 3
Density functional theory data (GGA-PBE) for an optimized crystal structure of GdNpAs.

Geometry as POSCAR:
```
GdNpAs
1.0
-0.463 3.174 3.778
0.952 4.816 -0.679
-3.708 3.287 0.034
Np As Gd
1 1 1
Direct
0.000 0.000 0.000
0.250 0.250 0.250
0.750 0.750 0.750
```

## Properties
M_tot   6.48 Bohr magnetons per cell
Energy   -20.9 eV per cell


> Which formula does entry 3 have?

GdNpAs